# 1
VASP calculation (GGA-PBE) on a geometry-optimized Tl3Au structure.

```
data_Tl3Au
_chemical_formula_sum 'Tl6 Au2'
_cell_length_a 3.9298
_cell_length_b 6.7887
_cell_length_c 8.7962
_cell_angle_alpha 90.00
_cell_angle_beta 90.00
_cell_angle_gamma 90.00
_space_group_name_H-M_alt 'P 1'
_space_group_IT_number 1
_space_group_name_Hall 'P 1'
loop_
_atom_site_label
_atom_site_fract_x
_atom_site_fract_y
_atom_site_fract_z
_atom_site_occupancy
Tl1 0.2500 0.0073 0.1579 1
Tl2 0.2500 0.4927 0.1579 1
Tl3 0.2500 0.7500 0.5740 1
Tl4 0.7500 0.2500 0.4260 1
Tl5 0.7500 0.5073 0.8421 1
Tl6 0.7500 0.9927 0.8421 1
Au1 0.2500 0.2500 0.6756 1
Au2 0.7500 0.7500 0.3244 1
```

Calculated values
Energy of formation in meV/atom: 5



# 2
VASP calculation (GGA-PBE) on a geometry-optimized Tl5Au structure.

```
data_Tl5Au
_chemical_formula_sum 'Tl10 Au2'
_cell_length_a 8.2728
_cell_length_b 8.2728
_cell_length_c 8.2728
_cell_angle_alpha 125.93
_cell_angle_beta 125.93
_cell_angle_gamma 80.00
_space_group_name_H-M_alt 'P 1'
_space_group_IT_number 1
_space_group_name_Hall 'P 1'
loop_
_atom_site_label
_atom_site_fract_x
_atom_site_fract_y
_atom_site_fract_z
_atom_site_occupancy
Tl1 0.0000 0.0000 0.0000 1
Tl2 0.0125 0.5125 0.8055 1
Tl3 0.2070 0.0125 0.5000 1
Tl4 0.2930 0.7930 0.8055 1
Tl5 0.4875 0.2930 0.5000 1
Tl6 0.5000 0.5000 0.0000 1
Tl7 0.5125 0.7070 0.5000 1
Tl8 0.7070 0.2070 0.1945 1
Tl9 0.7930 0.9875 0.5000 1
Tl10 0.9875 0.4875 0.1945 1
Au1 0.2500 0.2500 0.0000 1
Au2 0.7500 0.7500 0.0000 1
```

Calculated values
Energy of formation in meV/atom: 10



# 3
VASP calculation (GGA-PBE) on a geometry-optimized Tl5Au structure.

```
data_Tl5Au
_chemical_formula_sum 'Tl5 Au1'
_cell_length_a 7.6134
_cell_length_b 7.6134
_cell_length_c 4.8969
_cell_angle_alpha 90.00
_cell_angle_beta 90.00
_cell_angle_gamma 143.23
_space_group_name_H-M_alt 'P 1'
_space_group_IT_number 1
_space_group_name_Hall 'P 1'
loop_
_atom_site_label
_atom_site_fract_x
_atom_site_fract_y
_atom_site_fract_z
_atom_site_occupancy
Tl1 0.0000 0.0000 0.0000 1
Tl2 0.1547 0.8453 0.5000 1
Tl3 0.3416 0.6584 0.0000 1
Tl4 0.6584 0.3416 0.0000 1
Tl5 0.8453 0.1547 0.5000 1
Au1 0.5000 0.5000 0.5000 1
```

Calculated values
Energy of formation in meV/atom: 32



# 4
VASP calculation (GGA-PBE) on a geometry-optimized Tl3Au structure.

```
data_Tl3Au
_chemical_formula_sum 'Tl6 Au2'
_cell_length_a 9.2254
_cell_length_b 9.2254
_cell_length_c 4.0345
_cell_angle_alpha 90.00
_cell_angle_beta 90.00
_cell_angle_gamma 137.45
_space_group_name_H-M_alt 'P 1'
_space_group_IT_number 1
_space_group_name_Hall 'P 1'
loop_
_atom_site_label
_atom_site_fract_x
_atom_site_fract_y
_atom_site_fract_z
_atom_site_occupancy
Tl1 0.1690 0.3229 0.7500 1
Tl2 0.2128 0.7872 0.7500 1
Tl3 0.3229 0.1690 0.2500 1
Tl4 0.6771 0.8310 0.7500 1
Tl5 0.7872 0.2128 0.2500 1
Tl6 0.8310 0.6771 0.2500 1
Au1 0.3376 0.6624 0.2500 1
Au2 0.6624 0.3376 0.7500 1
```

Calculated values
Energy of formation in meV/atom: -1



# 5
VASP calculation (GGA-PBE) on a geometry-optimized Tl5Au6 structure.

```
data_Tl5Au6
_chemical_formula_sum 'Tl5 Au6'
_cell_length_a 15.6484
_cell_length_b 15.6484
_cell_length_c 3.9522
_cell_angle_alpha 90.00
_cell_angle_beta 90.00
_cell_angle_gamma 163.58
_space_group_name_H-M_alt 'P 1'
_space_group_IT_number 1
_space_group_name_Hall 'P 1'
loop_
_atom_site_label
_atom_site_fract_x
_atom_site_fract_y
_atom_site_fract_z
_atom_site_occupancy
Tl1 0.0000 0.0000 0.0000 1
Tl2 0.1957 0.8043 0.5000 1
Tl3 0.3775 0.6225 0.0000 1
Tl4 0.6225 0.3775 0.0000 1
Tl5 0.8043 0.1957 0.5000 1
Au1 0.0989 0.9011 0.5000 1
Au2 0.2795 0.7205 0.0000 1
Au3 0.4561 0.5439 0.5000 1
Au4 0.5439 0.4561 0.5000 1
Au5 0.7205 0.2795 0.0000 1
Au6 0.9011 0.0989 0.5000 1
```

Calculated values
Energy of formation in meV/atom: -9



# 6
VASP calculation (GGA-PBE) on a geometry-optimized TlAu4 structure.

```
data_TlAu4
_chemical_formula_sum 'Tl1 Au4'
_cell_length_a 7.4526
_cell_length_b 7.4526
_cell_length_c 7.4526
_cell_angle_alpha 149.00
_cell_angle_beta 149.00
_cell_angle_gamma 44.41
_space_group_name_H-M_alt 'P 1'
_space_group_IT_number 1
_space_group_name_Hall 'P 1'
loop_
_atom_site_label
_atom_site_fract_x
_atom_site_fract_y
_atom_site_fract_z
_atom_site_occupancy
Tl1 0.0000 0.0000 0.0000 1
Au1 0.2500 0.7500 0.5000 1
Au2 0.4005 0.4005 0.0000 1
Au3 0.5995 0.5995 0.0000 1
Au4 0.7500 0.2500 0.5000 1
```

Calculated values
Energy of formation in meV/atom: 31



# 7
VASP calculation (GGA-PBE) on a geometry-optimized Tl2Au structure.

```
data_Tl2Au
_chemical_formula_sum 'Tl4 Au2'
_cell_length_a 13.7932
_cell_length_b 13.7932
_cell_length_c 13.7932
_cell_angle_alpha 165.40
_cell_angle_beta 165.40
_cell_angle_gamma 20.70
_space_group_name_H-M_alt 'P 1'
_space_group_IT_number 1
_space_group_name_Hall 'P 1'
loop_
_atom_site_label
_atom_site_fract_x
_atom_site_fract_y
_atom_site_fract_z
_atom_site_occupancy
Tl1 0.3055 0.5555 0.7500 1
Tl2 0.4445 0.6945 0.7500 1
Tl3 0.5555 0.3055 0.2500 1
Tl4 0.6945 0.4445 0.2500 1
Au1 0.1250 0.8750 0.2500 1
Au2 0.8750 0.1250 0.7500 1
```

Calculated values
Energy of formation in meV/atom: -11



# 8
VASP calculation (GGA-PBE) on a geometry-optimized Tl6Au structure.

```
data_Tl6Au
_chemical_formula_sum 'Tl6 Au1'
_cell_length_a 8.6336
_cell_length_b 8.6336
_cell_length_c 3.5452
_cell_angle_alpha 90.00
_cell_angle_beta 90.00
_cell_angle_gamma 120.00
_space_group_name_H-M_alt 'P 1'
_space_group_IT_number 1
_space_group_name_Hall 'P 1'
loop_
_atom_site_label
_atom_site_fract_x
_atom_site_fract_y
_atom_site_fract_z
_atom_site_occupancy
Tl1 0.0000 0.3347 0.2382 1
Tl2 0.0000 0.6653 0.7618 1
Tl3 0.3347 0.0000 0.2382 1
Tl4 0.3347 0.3347 0.7618 1
Tl5 0.6653 0.0000 0.7618 1
Tl6 0.6653 0.6653 0.2382 1
Au1 0.0000 0.0000 0.5000 1
```

Calculated values
Energy of formation in meV/atom: 88



# 9
VASP calculation (GGA-PBE) on a geometry-optimized Tl3Au5 structure.

```
data_Tl3Au5
_chemical_formula_sum 'Tl6 Au10'
_cell_length_a 9.1096
_cell_length_b 9.1096
_cell_length_c 5.2412
_cell_angle_alpha 90.00
_cell_angle_beta 90.00
_cell_angle_gamma 120.00
_space_group_name_H-M_alt 'P 1'
_space_group_IT_number 1
_space_group_name_Hall 'P 1'
loop_
_atom_site_label
_atom_site_fract_x
_atom_site_fract_y
_atom_site_fract_z
_atom_site_occupancy
Tl1 0.0000 0.3833 0.2500 1
Tl2 0.0000 0.6167 0.7500 1
Tl3 0.3833 0.0000 0.2500 1
Tl4 0.3833 0.3833 0.7500 1
Tl5 0.6167 0.0000 0.7500 1
Tl6 0.6167 0.6167 0.2500 1
Au1 0.0000 0.1826 0.7500 1
Au2 0.0000 0.8174 0.2500 1
Au3 0.1826 0.0000 0.7500 1
Au4 0.1826 0.1826 0.2500 1
Au5 0.3333 0.6667 0.0000 1
Au6 0.3333 0.6667 0.5000 1
Au7 0.6667 0.3333 0.0000 1
Au8 0.6667 0.3333 0.5000 1
Au9 0.8174 0.0000 0.2500 1
Au10 0.8174 0.8174 0.7500 1
```

Calculated values
Energy of formation in meV/atom: 84



# 10
VASP calculation (GGA-PBE) on a geometry-optimized Tl2Au structure.

```
data_Tl2Au
_chemical_formula_sum 'Tl4 Au2'
_cell_length_a 5.9737
_cell_length_b 5.9737
_cell_length_c 5.9737
_cell_angle_alpha 103.42
_cell_angle_beta 103.42
_cell_angle_gamma 122.40
_space_group_name_H-M_alt 'P 1'
_space_group_IT_number 1
_space_group_name_Hall 'P 1'
loop_
_atom_site_label
_atom_site_fract_x
_atom_site_fract_y
_atom_site_fract_z
_atom_site_occupancy
Tl1 0.1545 0.6545 0.8091 1
Tl2 0.3455 0.1545 0.5000 1
Tl3 0.6545 0.8455 0.5000 1
Tl4 0.8455 0.3455 0.1909 1
Au1 0.2500 0.2500 0.0000 1
Au2 0.7500 0.7500 0.0000 1
```

Calculated values
Energy of formation in meV/atom: -35



# 11
VASP calculation (GGA-PBE) on a geometry-optimized TlAu4 structure.

```
data_TlAu4
_chemical_formula_sum 'Tl1 Au4'
_cell_length_a 5.7221
_cell_length_b 5.7221
_cell_length_c 5.7221
_cell_angle_alpha 95.23
_cell_angle_beta 95.23
_cell_angle_gamma 144.87
_space_group_name_H-M_alt 'P 1'
_space_group_IT_number 1
_space_group_name_Hall 'P 1'
loop_
_atom_site_label
_atom_site_fract_x
_atom_site_fract_y
_atom_site_fract_z
_atom_site_occupancy
Tl1 0.0000 0.0000 0.0000 1
Au1 0.1559 0.3595 0.5154 1
Au2 0.3595 0.8441 0.2036 1
Au3 0.6405 0.1559 0.7964 1
Au4 0.8441 0.6405 0.4846 1
```

Calculated values
Energy of formation in meV/atom: 37



# 12
VASP calculation (GGA-PBE) on a geometry-optimized Tl3Au structure.

```
data_Tl3Au
_chemical_formula_sum 'Tl3 Au1'
_cell_length_a 5.6422
_cell_length_b 5.6422
_cell_length_c 5.6422
_cell_angle_alpha 90.00
_cell_angle_beta 90.00
_cell_angle_gamma 90.00
_space_group_name_H-M_alt 'P 1'
_space_group_IT_number 1
_space_group_name_Hall 'P 1'
loop_
_atom_site_label
_atom_site_fract_x
_atom_site_fract_y
_atom_site_fract_z
_atom_site_occupancy
Tl1 0.0000 0.0000 0.5000 1
Tl2 0.0000 0.5000 0.0000 1
Tl3 0.5000 0.0000 0.0000 1
Au1 0.0000 0.0000 0.0000 1
```

Calculated values
Energy of formation in meV/atom: 264